Compound: TaGaSeBr2
Source: Alexandria
Functional: GGA-PBEsol
Structure: optimized geometry

Electronic total energy in eV/atom: -4.8625
Energy relative to the elements, uncorrected in meV/atom: -166
N(E_F) in states/eV/atom: 0.464
M_tot in μB/cell: 0.00
Volume in Å³ per cell: 130.7

a = 5.1325 Å, b = 5.1325 Å, c = 4.9617 Å
α = 90.00°, β = 90.00°, γ = 90.00°
Closest atoms and distances in Å follow each position.
Positions (direct):
Ta 0.0000 0.0000 0.0000  2 Se 2.48, 4 Br 2.57
Ga 0.5000 0.5000 0.5000  8 Br 3.57, 4 Se 3.63
Se 0.0000 0.0000 0.5000  2 Ta 2.48
Br 0.0000 0.5000 0.0000  2 Ta 2.57
Br 0.5000 0.0000 0.0000  2 Ta 2.57